<i>
The following is a DFT calculation (GGA-PBE) of a relaxed ScAlB3 crystal.

Output
Its volume is 66 Å³ per cell. The space group is Pm-3m.

Cell: 4.0406 4.0406 4.0406 Å, 90.00 90.00 90.00°
Fractional positions:
1 Sc 0.0000 0.0000 0.0000
2 Al 0.5000 0.5000 0.5000
3 B 0.0000 0.5000 0.5000
4 B 0.5000 0.0000 0.5000
5 B 0.5000 0.5000 0.0000

=====

<ii>
The following is a DFT calculation (GGA-PBE) of a relaxed ScAlB3 crystal.

Output
Its volume is 80 Å³ per cell. The space group is Pm-3m.

Cell: 4.3106 4.3106 4.3106 Å, 90.00 90.00 90.00°
Fractional positions:
1 Sc 0.0000 0.0000 0.0000
2 Al 0.5000 0.5000 0.5000
3 B 0.0000 0.0000 0.5000
4 B 0.0000 0.5000 0.0000
5 B 0.5000 0.0000 0.0000

=====

<iii>
The following is a DFT calculation (GGA-PBE) of a relaxed ScAlB3 crystal.

Output
Its volume is 100 Å³ per cell. The space group is Cmcm.

Cell: 9.2916 9.2916 3.1375 Å, 90.00 90.00 158.45°
Fractional positions:
1 Sc 0.0741 0.9259 0.7500
2 Sc 0.9259 0.0741 0.2500
3 Al 0.2048 0.7952 0.2500
4 Al 0.7952 0.2048 0.7500
5 B 0.3255 0.6745 0.2500
6 B 0.3766 0.6234 0.7500
7 B 0.4757 0.5243 0.7500
8 B 0.5243 0.4757 0.2500
9 B 0.6234 0.3766 0.2500
10 B 0.6745 0.3255 0.7500

=====

The structure with the most favorable energy is <iii>; the runner-up is 1616 meV/atom above it.